Sc6Sn5H: optimized geometry, PBE.

```
data_Sc6Sn5H
_cell_length_a 7.9250
_cell_length_b 7.9250
_cell_length_c 6.5943
_cell_angle_alpha 94.69
_cell_angle_beta 94.69
_cell_angle_gamma 137.72
_symmetry_space_group_name_H-M 'P 1'
_symmetry_Int_Tables_number 1
loop_
_symmetry_equiv_pos_as_xyz
'x,y,z'
loop_
_atom_site_label
_atom_site_fract_x
_atom_site_fract_y
_atom_site_fract_z
Sc1 0.1592 0.8169 0.7496
Sc2 0.1831 0.8408 0.2504
Sc3 0.3208 0.3208 0.6811
Sc4 0.6792 0.6792 0.3189
Sc5 0.8169 0.1592 0.7496
Sc6 0.8408 0.1831 0.2504
Sn1 0.0000 0.0000 0.0000
Sn2 0.3399 0.6601 0.5000
Sn3 0.3471 0.6529 0.0000
Sn4 0.6529 0.3471 0.0000
Sn5 0.6601 0.3399 0.5000
H1 0.0000 0.0000 0.5000
```

Values from the calculation:
- volume (Å³/cell) = 271
- DFT total energy (eV per atom) = -5.5426